Entry 1:
LiLa2Ni9: optimized geometry, PBE-GGA.

Summary:
density of states at the Fermi level: 0.921 states/eV per atom
crystal system: trigonal
space-group type: R-3m, No. 166
electronic total energy: -65.8 eV per formula unit
calculated volume: 176 Å³/f.u.
ΔE_f: -165 meV per atom

```
12
Lattice="-1.3937 -1.5861 -4.5100 -4.0060 -2.9180 -0.4851 -6.5291 5.1363 -2.5379" Properties=species:S:1:pos:R:3 pbc="T T T"
Li 0.0000 0.0000 0.0000
La -7.2846 -1.8587 -5.3430
La -4.6443 2.4909 -2.1900
Ni -10.1189 2.1194 -5.8661
Ni -1.8100 -1.4872 -1.6669
Ni -5.9645 0.3161 -3.7665
Ni -3.8223 -0.6788 -2.7054
Ni -4.5184 -1.4711 -4.9581
Ni -5.8232 -2.1363 -2.9477
Ni -8.1066 1.3110 -4.8276
Ni -6.1057 2.7685 -4.5853
Ni -7.4105 2.1033 -2.5749
```

Entry 2:
LiLa2Ni: optimized geometry, PBE-GGA.

Summary:
density of states at the Fermi level: 1.097 states/eV per atom
crystal system: monoclinic
space-group type: C2/m, No. 12
electronic total energy: -17.8 eV per formula unit
calculated volume: 120 Å³/f.u.
ΔE_f: -53 meV per atom

```
4
Lattice="3.9744 -0.0381 0.0442 2.1777 3.3250 0.0442 1.4852 0.7935 9.0474" Properties=species:S:1:pos:R:3 pbc="T T T"
La 6.1701 3.2965 0.6713
La 3.8007 2.0306 3.9850
Li 5.7280 3.0603 6.8519
Ni 1.9093 1.0201 2.2840
```

Entry 3:
Li2LaNi: optimized geometry, PBE-GGA.

Summary:
density of states at the Fermi level: 1.578 states/eV per atom
crystal system: cubic
space-group type: Fm-3m, No. 225
electronic total energy: -13.7 eV per formula unit
offset from the most stable computed form: 0.264 eV per atom
calculated volume: 74 Å³/f.u.
ΔE_f: 207 meV per atom

```
4
Lattice="-2.4476 -3.0605 -2.6362 -3.7114 -2.2650 1.8445 -4.3718 1.0791 -1.4247" Properties=species:S:1:pos:R:3 pbc="T T T"
Ni 0.0000 0.0000 0.0000
Li -2.6327 -1.0616 -0.5541
Li -7.8981 -3.1847 -1.6623
La -5.2654 -2.1232 -1.1082
```

Entry 4:
LiLaNi3: optimized geometry, PBE-GGA.

Summary:
density of states at the Fermi level: 0.903 states/eV per atom
crystal system: cubic
space-group type: Pm-3m, No. 221
electronic total energy: -23.6 eV per formula unit
offset from the most stable computed form: 0.000 eV per atom
calculated volume: 78 Å³/f.u.
ΔE_f: 114 meV per atom

```
5
Lattice="4.2660 0.0000 0.0000 0.0000 4.2660 0.0000 0.0000 0.0000 4.2660" Properties=species:S:1:pos:R:3 pbc="T T T"
Ni 0.0000 2.1330 0.0000
Ni 0.0000 0.0000 2.1330
Ni 2.1330 0.0000 0.0000
Li 0.0000 0.0000 0.0000
La 2.1330 2.1330 2.1330
```

Entry 5:
Li2LaNi2: optimized geometry, PBE-GGA.

Summary:
density of states at the Fermi level: 0.664 states/eV per atom
crystal system: tetragonal
space-group type: I4/mmm, No. 139
electronic total energy: -21.0 eV per formula unit
offset from the most stable computed form: 0.035 eV per atom
calculated volume: 90 Å³/f.u.
ΔE_f: -128 meV per atom

```
5
Lattice="3.8881 0.0000 0.0000 0.0000 3.8881 0.0000 1.9441 1.9441 5.9253" Properties=species:S:1:pos:R:3 pbc="T T T"
Ni 1.9441 1.9441 1.1742
Ni 3.8881 3.8881 4.7511
Li 3.8881 1.9441 2.9626
Li 1.9441 3.8881 2.9626
La 0.0000 0.0000 0.0000
```

Entry 6:
Li2LaNi: optimized geometry, PBE-GGA.

Summary:
density of states at the Fermi level: 0.700 states/eV per atom
crystal system: tetragonal
space-group type: P4mm, No. 99
electronic total energy: -14.6 eV per formula unit
offset from the most stable computed form: 0.031 eV per atom
calculated volume: 83 Å³/f.u.
ΔE_f: -25 meV per atom

```
4
Lattice="-0.6989 3.2218 1.0427 -1.6833 0.5928 -2.9616 -5.9018 -2.2220 2.9098" Properties=species:S:1:pos:R:3 pbc="T T T"
La -5.2530 0.3780 1.0432
Li -0.4645 -0.1749 0.2290
Li -2.7583 1.3173 -0.1868
Ni -2.7591 -1.0388 1.3604
```

Entry 7:
Li3LaNi: optimized geometry, PBE-GGA.

Summary:
density of states at the Fermi level: 0.917 states/eV per atom
crystal system: cubic
space-group type: Pm-3m, No. 221
electronic total energy: -8.4 eV per formula unit
offset from the most stable computed form: 1.382 eV per atom
calculated volume: 117 Å³/f.u.
ΔE_f: 1617 meV per atom

```
5
Lattice="4.8913 0.0000 0.0000 0.0000 4.8913 0.0000 0.0000 0.0000 4.8913" Properties=species:S:1:pos:R:3 pbc="T T T"
Ni 2.4456 2.4456 2.4456
Li 0.0000 2.4456 0.0000
Li 0.0000 0.0000 2.4456
Li 2.4456 0.0000 0.0000
La 0.0000 0.0000 0.0000
```

Entry 8:
LiLa4Ni2: optimized geometry, PBE-GGA.

Summary:
density of states at the Fermi level: 1.120 states/eV per atom
crystal system: trigonal
space-group type: R-3m, No. 166
electronic total energy: -33.7 eV per formula unit
calculated volume: 187 Å³/f.u.
ΔE_f: -72 meV per atom

```
7
Lattice="-1.8829 4.3854 -1.3673 -4.8749 0.8450 0.4106 -1.0388 4.7978 7.8056" Properties=species:S:1:pos:R:3 pbc="T T T"
Li -3.8983 5.0141 3.4245
La -5.7014 7.8887 6.1141
La -6.3433 6.2734 1.8177
La -2.0952 2.1396 0.7348
La -1.4533 3.7548 5.0312
Ni -4.2467 4.1374 1.0922
Ni -3.5499 5.8909 5.7567
```

Entry 9:
LiLa2Ni: optimized geometry, PBE-GGA.

Summary:
density of states at the Fermi level: 0.940 states/eV per atom
crystal system: monoclinic
space-group type: Pm, No. 6
electronic total energy: -17.7 eV per formula unit
calculated volume: 101 Å³/f.u.
ΔE_f: -42 meV per atom

```
4
Lattice="-3.0579 2.5392 -2.3685 0.5913 -2.2236 -3.1473 -3.8322 -4.5275 0.0940" Properties=species:S:1:pos:R:3 pbc="T T T"
La -2.9073 -6.3086 -3.0097
La -2.7372 -0.9171 -1.9687
Li -1.4956 -3.7798 -2.1212
Ni -4.0202 -3.3331 -2.9022
```

Entry 10:
LiLa2Ni: optimized geometry, PBE-GGA.

Summary:
density of states at the Fermi level: 0.835 states/eV per atom
crystal system: tetragonal
space-group type: P4mm, No. 99
electronic total energy: -17.4 eV per formula unit
calculated volume: 97 Å³/f.u.
ΔE_f: 32 meV per atom

```
4
Lattice="3.5802 0.0000 0.0000 0.0000 3.5802 0.0000 0.0000 0.0000 7.5875" Properties=species:S:1:pos:R:3 pbc="T T T"
La 0.0000 0.0000 7.0341
La 1.7901 1.7901 2.2718
Li 0.0000 0.0000 4.2470
Ni 1.7901 1.7901 5.4159
```

Entry 11:
LiLa12Ni6: optimized geometry, PBE-GGA.

Summary:
density of states at the Fermi level: 1.128 states/eV per atom
crystal system: cubic
space-group type: Im-3, No. 204
electronic total energy: -100.0 eV per formula unit
calculated volume: 540 Å³/f.u.
ΔE_f: -225 meV per atom

```
19
Lattice="8.3777 0.0000 -2.9620 -4.1888 7.2553 -2.9620 0.0000 0.0000 8.8859" Properties=species:S:1:pos:R:3 pbc="T T T"
Li 0.0000 0.0000 0.0000
La 2.0830 0.9178 5.9400
La 0.5299 3.6079 -0.7494
La 3.6590 3.6474 3.7113
La 2.1058 6.3375 -2.9781
La -2.3525 5.9102 -0.0161
La 3.3895 1.3451 0.7493
La 0.7994 5.9102 2.2126
La 6.5414 1.3451 2.9781
La 5.5181 2.2628 -2.2126
La 0.2467 2.2628 2.9459
La 3.9421 4.9925 0.0161
La -1.3292 4.9925 5.1746
Ni 1.0493 3.6276 5.1849
Ni 3.1396 3.6276 -2.2229
Ni 0.5226 6.3502 -0.7390
Ni 3.6663 0.9051 3.7010
Ni 5.7607 2.7225 0.7390
Ni -1.5719 4.5328 2.2229
```

Entry 12:
Li2LaNi: optimized geometry, PBE-GGA.

Summary:
density of states at the Fermi level: 0.617 states/eV per atom
crystal system: tetragonal
space-group type: P4/mmm, No. 123
electronic total energy: -13.9 eV per formula unit
offset from the most stable computed form: 0.216 eV per atom
calculated volume: 77 Å³/f.u.
ΔE_f: 159 meV per atom

```
4
Lattice="3.6941 0.0000 0.0000 0.0000 3.6941 0.0000 0.0000 0.0000 5.6096" Properties=species:S:1:pos:R:3 pbc="T T T"
La 1.8471 1.8471 4.2072
Li 0.0000 0.0000 0.3385
Li 0.0000 0.0000 2.4664
Ni 1.8471 1.8471 1.4024
```